(one)
First-principles (PBE-GGA) data for a relaxed Ti3PtBr crystal, as listed in Alexandria.

Unit cell a=4.927 b=4.927 c=4.927 alpha=90.00 beta=90.00 gamma=90.00
Element x y z (fractional)
1 Ti 0.000 0.000 0.500
2 Ti 0.000 0.500 0.000
3 Ti 0.500 0.000 0.000
4 Pt 0.000 0.000 0.000
5 Br 0.500 0.500 0.500

Results
Size of the total moment, μB/cell: 3.02

(two)
First-principles (PBE-GGA) data for a relaxed Ti3PtBr crystal, as listed in Alexandria.

Unit cell a=4.575 b=4.575 c=4.575 alpha=90.00 beta=90.00 gamma=90.00
Element x y z (fractional)
1 Ti 0.000 0.000 0.500
2 Ti 0.000 0.500 0.000
3 Ti 0.500 0.000 0.000
4 Pt 0.500 0.500 0.500
5 Br 0.000 0.000 0.000

Results
Size of the total moment, μB/cell: 1.18

Last place for stability: (two)

(one)
First-principles (PBE-GGA) data for a relaxed TlPt2Br crystal, as listed in Alexandria.

Unit cell a=3.493 b=3.493 c=6.701 alpha=90.00 beta=90.00 gamma=90.00
Element x y z (fractional)
1 Tl 0.000 0.000 0.000
2 Pt 0.500 0.500 0.211
3 Pt 0.500 0.500 0.789
4 Br 0.000 0.000 0.500

Results
Size of the total moment, μB/cell: 0.00

(two)
First-principles (PBE-GGA) data for a relaxed TlPt2Br crystal, as listed in Alexandria.

Unit cell a=7.193 b=7.193 c=7.193 alpha=150.23 beta=149.16 gamma=43.39
Element x y z (fractional)
1 Tl 0.000 0.000 0.000
2 Pt 0.553 0.553 0.000
3 Pt 0.697 0.197 0.500
4 Br 0.269 0.769 0.500

Results
Size of the total moment, μB/cell: 0.00

Last place for stability: (one)

(one)
First-principles (PBE-GGA) data for a relaxed TlPt2Br crystal, as listed in Alexandria.

Unit cell a=7.279 b=7.279 c=3.525 alpha=90.81 beta=90.81 gamma=29.45
Element x y z (fractional)
1 Tl 0.000 0.000 0.000
2 Pt 0.411 0.411 0.499
3 Pt 0.600 0.600 0.499
4 Br 0.235 0.235 0.538

Results
Size of the total moment, μB/cell: 0.00

(two)
First-principles (PBE-GGA) data for a relaxed TlPt2Br crystal, as listed in Alexandria.

Unit cell a=9.835 b=9.835 c=9.835 alpha=154.92 beta=154.92 gamma=35.76
Element x y z (fractional)
1 Tl 0.000 0.000 0.000
2 Tl 0.750 0.250 0.500
3 Pt 0.129 0.625 0.004
4 Pt 0.375 0.379 0.504
5 Pt 0.621 0.125 0.996
6 Pt 0.875 0.871 0.496
7 Br 0.250 0.750 0.500
8 Br 0.500 0.500 0.000

Results
Size of the total moment, μB/cell: 0.00

(three)
First-principles (PBE-GGA) data for a relaxed TlPt2Br crystal, as listed in Alexandria.

Unit cell a=3.547 b=3.547 c=7.723 alpha=90.00 beta=90.00 gamma=90.00
Element x y z (fractional)
1 Tl 0.000 0.000 0.000
2 Pt 0.000 0.000 0.601
3 Pt 0.500 0.500 0.687
4 Br 0.500 0.500 0.245

Results
Size of the total moment, μB/cell: 0.00

(four)
First-principles (PBE-GGA) data for a relaxed TlPt2Br crystal, as listed in Alexandria.

Unit cell a=5.021 b=5.021 c=3.156 alpha=90.00 beta=90.00 gamma=99.93
Element x y z (fractional)
1 Tl 0.000 0.000 0.000
2 Pt 0.000 0.500 0.500
3 Pt 0.500 0.000 0.500
4 Br 0.500 0.500 0.000

Results
Size of the total moment, μB/cell: 0.00

Last place for stability: (four)

(one)
First-principles (PBE-GGA) data for a relaxed TlPt2Br crystal, as listed in Alexandria.

Unit cell a=5.323 b=5.323 c=3.232 alpha=90.00 beta=90.00 gamma=112.49
Element x y z (fractional)
1 Tl 0.000 0.000 0.000
2 Pt 0.249 0.751 0.500
3 Pt 0.751 0.249 0.500
4 Br 0.500 0.500 0.000

Results
Size of the total moment, μB/cell: 0.00

(two)
First-principles (PBE-GGA) data for a relaxed TlPt2Br crystal, as listed in Alexandria.

Unit cell a=7.334 b=7.334 c=7.334 alpha=31.27 beta=31.27 gamma=31.27
Element x y z (fractional)
1 Tl 0.000 0.000 0.000
2 Pt 0.257 0.257 0.257
3 Pt 0.526 0.526 0.526
4 Br 0.793 0.793 0.793

Results
Size of the total moment, μB/cell: 0.00

Last place for stability: (one)

(one)
First-principles (PBE-GGA) data for a relaxed TlPt2Br crystal, as listed in Alexandria.

Unit cell a=3.366 b=3.366 c=8.827 alpha=90.00 beta=90.00 gamma=123.67
Element x y z (fractional)
1 Tl 0.000 0.000 0.000
2 Pt 0.500 0.500 0.250
3 Pt 0.500 0.500 0.750
4 Br 0.000 0.000 0.500

Results
Size of the total moment, μB/cell: 0.00

(two)
First-principles (PBE-GGA) data for a relaxed TlPt2Br crystal, as listed in Alexandria.

Unit cell a=3.089 b=4.628 c=5.662 alpha=90.00 beta=90.00 gamma=90.00
Element x y z (fractional)
1 Tl 0.000 0.000 0.000
2 Pt 0.000 0.500 0.500
3 Pt 0.500 0.500 0.000
4 Br 0.500 0.000 0.500

Results
Size of the total moment, μB/cell: 0.00

Last place for stability: (one)

(one)
First-principles (PBE-GGA) data for a relaxed TlPt2Br crystal, as listed in Alexandria.

Unit cell a=5.144 b=5.144 c=7.217 alpha=121.88 beta=121.88 gamma=40.55
Element x y z (fractional)
1 Tl 0.000 0.000 0.000
2 Pt 0.341 0.341 0.157
3 Pt 0.659 0.659 0.843
4 Br 0.000 0.000 0.500

Results
Size of the total moment, μB/cell: 0.00

(two)
First-principles (PBE-GGA) data for a relaxed TlPt2Br crystal, as listed in Alexandria.

Unit cell a=4.790 b=4.790 c=4.790 alpha=60.00 beta=60.00 gamma=60.00
Element x y z (fractional)
1 Tl 0.000 0.000 0.000
2 Pt 0.250 0.250 0.250
3 Pt 0.750 0.750 0.750
4 Br 0.500 0.500 0.500

Results
Size of the total moment, μB/cell: 0.00

(three)
First-principles (PBE-GGA) data for a relaxed TlPt2Br crystal, as listed in Alexandria.

Unit cell a=3.446 b=3.635 c=7.585 alpha=90.00 beta=93.74 gamma=90.00
Element x y z (fractional)
1 Tl 0.000 0.000 0.000
2 Pt 0.154 0.500 0.714
3 Pt 0.634 0.000 0.595
4 Br 0.603 0.500 0.336

Results
Size of the total moment, μB/cell: 0.00

Last place for stability: (two)

(one)
First-principles (PBE-GGA) data for a relaxed Tl3PtBr crystal, as listed in Alexandria.

Unit cell a=7.895 b=7.895 c=7.895 alpha=56.28 beta=56.28 gamma=56.28
Element x y z (fractional)
1 Tl 0.096 0.521 0.652
2 Tl 0.348 0.904 0.479
3 Tl 0.479 0.348 0.904
4 Tl 0.521 0.652 0.096
5 Tl 0.652 0.096 0.521
6 Tl 0.904 0.479 0.348
7 Pt 0.329 0.329 0.329
8 Pt 0.671 0.671 0.671
9 Br 0.101 0.101 0.101
10 Br 0.899 0.899 0.899

Results
Size of the total moment, μB/cell: 0.00

(two)
First-principles (PBE-GGA) data for a relaxed Tl3PtBr crystal, as listed in Alexandria.

Unit cell a=10.043 b=10.043 c=10.043 alpha=60.00 beta=60.00 gamma=60.00
Element x y z (fractional)
1 Tl 0.083 0.083 0.667
2 Tl 0.083 0.667 0.083
3 Tl 0.083 0.667 0.667
4 Tl 0.333 0.333 0.917
5 Tl 0.333 0.917 0.333
6 Tl 0.333 0.917 0.917
7 Tl 0.667 0.083 0.083
8 Tl 0.667 0.083 0.667
9 Tl 0.667 0.667 0.083
10 Tl 0.917 0.333 0.333
11 Tl 0.917 0.333 0.917
12 Tl 0.917 0.917 0.333
13 Pt 0.000 0.000 0.000
14 Pt 0.000 0.000 0.500
15 Pt 0.000 0.500 0.000
16 Pt 0.500 0.000 0.000
17 Br 0.000 0.500 0.500
18 Br 0.500 0.000 0.500
19 Br 0.500 0.500 0.000
20 Br 0.500 0.500 0.500

Results
Size of the total moment, μB/cell: 0.00

(three)
First-principles (PBE-GGA) data for a relaxed Tl3PtBr crystal, as listed in Alexandria.

Unit cell a=8.668 b=6.372 c=10.814 alpha=90.00 beta=95.70 gamma=90.00
Element x y z (fractional)
1 Tl 0.043 0.150 0.172
2 Tl 0.043 0.350 0.672
3 Tl 0.236 0.680 0.115
4 Tl 0.236 0.820 0.615
5 Tl 0.405 0.566 0.857
6 Tl 0.405 0.934 0.357
7 Tl 0.595 0.066 0.643
8 Tl 0.595 0.434 0.143
9 Tl 0.764 0.180 0.385
10 Tl 0.764 0.320 0.885
11 Tl 0.957 0.650 0.328
12 Tl 0.957 0.850 0.828
13 Pt 0.094 0.132 0.450
14 Pt 0.094 0.368 0.950
15 Pt 0.906 0.632 0.050
16 Pt 0.906 0.868 0.550
17 Br 0.301 0.089 0.900
18 Br 0.301 0.411 0.400
19 Br 0.699 0.589 0.600
20 Br 0.699 0.911 0.100

Results
Size of the total moment, μB/cell: 0.00

Last place for stability: (three)

(one)
First-principles (PBE-GGA) data for a relaxed PtWBr2 crystal, as listed in Alexandria.

Unit cell a=4.660 b=4.660 c=4.660 alpha=60.00 beta=60.00 gamma=60.00
Element x y z (fractional)
1 Pt 0.000 0.000 0.000
2 W 0.500 0.500 0.500
3 Br 0.250 0.250 0.250
4 Br 0.750 0.750 0.750

Results
Size of the total moment, μB/cell: 0.00

(two)
First-principles (PBE-GGA) data for a relaxed PtWBr2 crystal, as listed in Alexandria.

Unit cell a=4.982 b=4.982 c=3.062 alpha=90.00 beta=90.00 gamma=103.00
Element x y z (fractional)
1 Pt 0.000 0.000 0.000
2 W 0.500 0.500 0.000
3 Br 0.000 0.500 0.500
4 Br 0.500 0.000 0.500

Results
Size of the total moment, μB/cell: 0.96

(three)
First-principles (PBE-GGA) data for a relaxed PtWBr2 crystal, as listed in Alexandria.

Unit cell a=7.317 b=7.317 c=7.317 alpha=134.52 beta=134.52 gamma=66.28
Element x y z (fractional)
1 Pt 0.000 0.000 0.000
2 Pt 0.750 0.250 0.500
3 W 0.250 0.750 0.500
4 W 0.500 0.500 0.000
5 Br 0.142 0.625 0.017
6 Br 0.375 0.392 0.517
7 Br 0.608 0.125 0.983
8 Br 0.875 0.858 0.483

Results
Size of the total moment, μB/cell: 0.00

(four)
First-principles (PBE-GGA) data for a relaxed PtWBr2 crystal, as listed in Alexandria.

Unit cell a=12.122 b=12.122 c=12.122 alpha=13.74 beta=13.74 gamma=13.74
Element x y z (fractional)
1 Pt 0.000 0.000 0.000
2 W 0.500 0.500 0.500
3 Br 0.431 0.431 0.431
4 Br 0.569 0.569 0.569

Results
Size of the total moment, μB/cell: 0.39

Last place for stability: (two)